Computed, not measured: a geometry-optimized TeAu15 structure at the PBE-GGA level of DFT.

Lattice parameters (Å, degrees): 4.096 4.097 44.109 90.00 90.00 90.00
Fractional positions:
Au  0.500  0.000  0.140
Au  0.500  0.500  0.190
Au  0.000  0.000  0.190
Au  0.500  0.000  0.238
Au  0.000  0.500  0.238
Au  0.000  0.000  0.286
Au  0.500  0.500  0.286
Au  0.500  0.000  0.333
Au  0.000  0.500  0.333
Au  0.000  0.000  0.381
Au  0.500  0.500  0.381
Au  0.500  0.000  0.428
Au  0.000  0.500  0.428
Au  0.000  0.000  0.476
Au  0.500  0.500  0.476
Au  0.500  0.000  0.524
Au  0.000  0.500  0.524
Au  0.000  0.000  0.572
Au  0.500  0.500  0.572
Au  0.500  0.000  0.619
Au  0.000  0.500  0.619
Au  0.000  0.000  0.667
Au  0.500  0.500  0.667
Au  0.500  0.000  0.714
Au  0.000  0.500  0.714
Au  0.000  0.000  0.762
Au  0.500  0.500  0.762
Au  0.000  0.500  0.810
Au  0.500  0.000  0.810
Au  0.500  0.500  0.860
Te  0.000  0.500  0.131
Te  0.000  0.000  0.869

## Properties
E: -3.22 eV/atom
volume: 740.2 Å³ per cell